[1]
CaLa6Tm after structural relaxation, computed with PBE-GGA.

Geometry as extended XYZ:
```
8
Lattice="5.253 0.000 0.000 0.000 5.253 0.000 0.000 0.000 10.517" Properties=species:S:1:pos:R:3 pbc="T T T"
Ca 0.000 0.000 0.000
La 0.000 2.626 2.713
Tm 0.000 0.000 5.258
La 2.626 2.626 0.000
La 2.626 0.000 2.713
La 2.626 2.626 5.258
La 0.000 2.626 7.803
La 2.626 0.000 7.803
```

Its total magnetization is 0.0 μB/f.u. The value obtained for the total energy is -4.48 eV/atom. As for the volume: 36.3 Å³ per atom. The symmetry is P4/mmm.

=====

[2]
Ca3LaV after structural relaxation, computed with PBE-GGA.

Geometry as extended XYZ:
```
5
Lattice="5.811 0.000 0.000 0.000 5.811 0.000 0.000 0.000 5.811" Properties=species:S:1:pos:R:3 pbc="T T T"
Ca 0.000 2.906 0.000
La 0.000 0.000 0.000
Ca 2.906 0.000 0.000
V 2.906 2.906 2.906
Ca 0.000 0.000 2.906
```

Its total magnetization is 2.3 μB/f.u. The value obtained for the total energy is -2.63 eV/atom. As for the volume: 39.3 Å³ per atom. The symmetry is Pm-3m.

=====

[3]
CaLa2V2 after structural relaxation, computed with PBE-GGA.

Geometry as extended XYZ:
```
10
Lattice="-7.476 4.187 -3.134 -5.084 -4.536 6.068 0.458 2.508 2.258" Properties=species:S:1:pos:R:3 pbc="T T T"
V -3.330 2.695 0.251
Ca 0.000 0.000 0.000
Ca -6.280 -0.174 1.467
V -3.253 -1.040 4.382
La -9.539 0.171 1.744
La -3.021 -0.520 1.190
La -6.306 -2.373 3.913
V -8.849 3.199 0.809
La -6.255 2.024 -0.979
V -8.772 -0.536 4.941
```

Its total magnetization is 0.7 μB/f.u. The value obtained for the total energy is -5.44 eV/atom. As for the volume: 28.3 Å³ per atom. The symmetry is P4/mbm.

=====

[4]
Ca3LaV after structural relaxation, computed with PBE-GGA.

Geometry as extended XYZ:
```
5
Lattice="5.788 0.000 0.000 0.000 5.788 0.000 0.000 0.000 5.788" Properties=species:S:1:pos:R:3 pbc="T T T"
V 0.000 0.000 0.000
Ca 2.894 0.000 0.000
La 2.894 2.894 2.894
Ca 0.000 2.894 0.000
Ca 0.000 0.000 2.894
```

Its total magnetization is 3.2 μB/f.u. The value obtained for the total energy is -3.39 eV/atom. As for the volume: 38.8 Å³ per atom. The symmetry is Pm-3m.

=====

[5]
CaLaV3 after structural relaxation, computed with PBE-GGA.

Geometry as extended XYZ:
```
5
Lattice="4.743 0.000 0.000 0.000 4.743 0.000 0.000 0.000 4.743" Properties=species:S:1:pos:R:3 pbc="T T T"
V 0.000 0.000 2.372
V 0.000 2.372 0.000
La 0.000 0.000 0.000
V 2.372 0.000 0.000
Ca 2.372 2.372 2.372
```

Its total magnetization is 0.0 μB/f.u. The value obtained for the total energy is -5.46 eV/atom. As for the volume: 21.3 Å³ per atom. The symmetry is Pm-3m.

=====

[6]
CaLa3V after structural relaxation, computed with PBE-GGA.

Geometry as extended XYZ:
```
5
Lattice="5.783 0.000 0.000 0.000 5.783 0.000 0.000 0.000 5.783" Properties=species:S:1:pos:R:3 pbc="T T T"
La 0.000 2.892 0.000
La 2.892 0.000 0.000
La 0.000 0.000 2.892
Ca 0.000 0.000 0.000
V 2.892 2.892 2.892
```

Its total magnetization is 4.0 μB/f.u. The value obtained for the total energy is -3.90 eV/atom. As for the volume: 38.7 Å³ per atom. The symmetry is Pm-3m.

=====

[7]
CaLa3V after structural relaxation, computed with PBE-GGA.

Geometry as extended XYZ:
```
5
Lattice="5.612 0.000 0.000 0.000 5.612 0.000 0.000 0.000 5.612" Properties=species:S:1:pos:R:3 pbc="T T T"
Ca 2.806 2.806 2.806
La 2.806 0.000 0.000
La 0.000 2.806 0.000
La 0.000 0.000 2.806
V 0.000 0.000 0.000
```

Its total magnetization is 0.7 μB/f.u. The value obtained for the total energy is -4.87 eV/atom. As for the volume: 35.4 Å³ per atom. The symmetry is Pm-3m.

=====

[8]
CaLaW2 after structural relaxation, computed with PBE-GGA.

Geometry as extended XYZ:
```
4
Lattice="-2.489 -4.344 0.437 -4.852 -0.257 -1.284 -1.379 -2.531 -4.117" Properties=species:S:1:pos:R:3 pbc="T T T"
W -2.180 -1.783 -1.241
Ca 0.000 0.000 0.000
W -6.540 -5.349 -3.722
La -4.360 -3.566 -2.482
```

Its total magnetization is 0.0 μB/f.u. The value obtained for the total energy is -6.83 eV/atom. As for the volume: 22.4 Å³ per atom. The symmetry is Fm-3m.

=====

[9]
CaLa2W after structural relaxation, computed with PBE-GGA.

Geometry as extended XYZ:
```
4
Lattice="5.901 0.006 0.000 -1.789 5.623 0.000 0.000 0.000 3.400" Properties=species:S:1:pos:R:3 pbc="T T T"
La 0.000 0.000 0.000
Ca -0.895 2.812 1.700
La 2.056 2.814 0.000
W 2.950 0.003 1.700
```

Its total magnetization is 0.0 μB/f.u. The value obtained for the total energy is -5.43 eV/atom. As for the volume: 28.2 Å³ per atom. The symmetry is Cmmm.

=====

[10]
CaLaW2 after structural relaxation, computed with PBE-GGA.

Geometry as extended XYZ:
```
4
Lattice="-1.269 2.420 -0.780 -1.092 -1.309 -2.274 -8.631 -2.691 5.692" Properties=species:S:1:pos:R:3 pbc="T T T"
W -4.269 -1.331 2.816
La -7.654 -1.462 2.742
Ca -3.338 -0.117 -0.104
W -0.046 -0.014 0.031
```

Its total magnetization is 0.0 μB/f.u. The value obtained for the total energy is -7.26 eV/atom. As for the volume: 21.6 Å³ per atom. The symmetry is P4/mmm.

=====

[11]
CaLa2W after structural relaxation, computed with PBE-GGA.

Geometry as extended XYZ:
```
4
Lattice="5.186 0.000 0.000 0.000 3.388 -0.001 0.000 1.946 6.395" Properties=species:S:1:pos:R:3 pbc="T T T"
La 2.593 1.923 1.813
La 0.000 0.124 0.029
Ca 2.593 3.769 4.610
W 0.000 2.185 3.139
```

Its total magnetization is 0.0 μB/f.u. The value obtained for the total energy is -5.54 eV/atom. As for the volume: 28.1 Å³ per atom. The symmetry is Pm.

=====

[12]
CaLa3W after structural relaxation, computed with PBE-GGA.

Geometry as extended XYZ:
```
5
Lattice="-2.378 -2.776 -4.118 3.238 -4.329 1.048 -3.766 -1.969 3.502" Properties=species:S:1:pos:R:3 pbc="T T T"
Ca 0.000 0.000 0.000
W -1.453 -4.537 0.216
La -1.189 -1.388 -2.059
La 1.619 -2.164 0.524
La -1.883 -0.985 1.751
```

Its total magnetization is 0.0 μB/f.u. The value obtained for the total energy is -4.07 eV/atom. As for the volume: 33.4 Å³ per atom. The symmetry is Pm-3m.

=====

[13]
Ca2LaW after structural relaxation, computed with PBE-GGA.

Geometry as extended XYZ:
```
4
Lattice="6.054 -0.002 0.000 2.451 5.536 0.000 -4.252 -2.767 3.303" Properties=species:S:1:pos:R:3 pbc="T T T"
W 3.027 -0.001 1.652
La 1.225 2.768 1.652
Ca 0.000 0.000 0.000
Ca 4.252 2.767 0.000
```

Its total magnetization is 0.2 μB/f.u. The value obtained for the total energy is -4.67 eV/atom. As for the volume: 27.7 Å³ per atom. The symmetry is I4/mmm.

=====

[14]
CaLa2W after structural relaxation, computed with PBE-GGA.

Geometry as extended XYZ:
```
4
Lattice="-10.327 -2.821 -2.964 -9.590 -5.550 -0.785 -10.814 -2.477 0.554" Properties=species:S:1:pos:R:3 pbc="T T T"
W -15.224 -5.374 -1.582
La -0.141 -0.050 -0.015
Ca -7.164 -2.529 -0.745
La -23.568 -8.319 -2.449
```

Its total magnetization is 0.1 μB/f.u. The value obtained for the total energy is -5.48 eV/atom. As for the volume: 30.1 Å³ per atom. The symmetry is R3m.

=====

[15]
Ca2LaW after structural relaxation, computed with PBE-GGA.

Geometry as extended XYZ:
```
4
Lattice="-3.079 3.536 3.079 -1.122 -2.483 1.729 4.166 -0.374 4.595" Properties=species:S:1:pos:R:3 pbc="T T T"
La -0.778 1.054 3.121
W 0.744 -0.375 6.283
Ca 2.991 -2.761 6.162
Ca 1.575 -1.525 3.325
```

Its total magnetization is 0.0 μB/f.u. The value obtained for the total energy is -4.66 eV/atom. As for the volume: 27.5 Å³ per atom. The symmetry is P2/m.

=====

[16]
CaLa2W after structural relaxation, computed with PBE-GGA.

Geometry as extended XYZ:
```
4
Lattice="-3.280 -0.258 -0.101 0.408 -4.686 -1.301 -0.060 -1.906 6.847" Properties=species:S:1:pos:R:3 pbc="T T T"
La -1.453 -3.003 1.208
Ca -1.479 -3.840 4.215
W -0.029 -0.911 3.271
La -0.002 -0.049 0.175
```

Its total magnetization is 0.0 μB/f.u. The value obtained for the total energy is -5.50 eV/atom. As for the volume: 28.5 Å³ per atom. The symmetry is Pmm2.

=====

[17]
Ca2LaW after structural relaxation, computed with PBE-GGA.

Geometry as extended XYZ:
```
4
Lattice="-1.510 -2.732 1.295 3.007 0.079 1.540 -4.271 6.164 8.023" Properties=species:S:1:pos:R:3 pbc="T T T"
Ca -0.315 0.208 3.416
Ca -4.049 5.844 7.607
La -2.385 3.443 4.481
W -2.430 3.261 7.389
```

Its total magnetization is 0.0 μB/f.u. The value obtained for the total energy is -4.83 eV/atom. As for the volume: 30.4 Å³ per atom. The symmetry is Cmm2.

=====

[18]
CaLaW2 after structural relaxation, computed with PBE-GGA.

Geometry as extended XYZ:
```
4
Lattice="-2.632 -3.105 -4.384 4.190 -2.388 3.540 -2.021 -0.852 1.817" Properties=species:S:1:pos:R:3 pbc="T T T"
W 0.000 0.000 0.000
W 0.779 -2.746 -0.422
Ca -2.326 -1.979 -1.284
La 1.084 -1.620 2.679
```

Its total magnetization is 0.0 μB/f.u. The value obtained for the total energy is -7.26 eV/atom. As for the volume: 21.5 Å³ per atom. The symmetry is Cmmm.

=====

[19]
CaLaW2 after structural relaxation, computed with PBE-GGA.

Geometry as extended XYZ:
```
8
Lattice="-6.861 4.553 0.174 -3.520 -5.097 -5.428 -6.171 -1.829 -0.529" Properties=species:S:1:pos:R:3 pbc="T T T"
La 0.000 0.000 0.000
W -4.619 -3.061 -3.502
Ca -7.441 -3.599 -4.292
La -9.111 1.226 -1.491
Ca -5.191 -0.272 -2.627
W -6.252 1.739 -0.702
W -13.702 -1.834 -4.979
W -8.531 -1.590 -2.382
```

Its total magnetization is 0.0 μB/f.u. The value obtained for the total energy is -6.65 eV/atom. As for the volume: 23.7 Å³ per atom. The symmetry is I-42d.

=====

[20]
CaLaW4 after structural relaxation, computed with PBE-GGA.

Geometry as extended XYZ:
```
6
Lattice="3.351 1.251 4.316 -0.849 4.698 2.939 -1.958 -0.290 5.245" Properties=species:S:1:pos:R:3 pbc="T T T"
W 0.204 2.121 4.686
W -0.221 4.472 6.157
Ca 0.408 4.244 9.375
W -0.776 1.976 7.311
La 0.000 0.000 0.000
W 1.881 2.747 6.846
```

Its total magnetization is 0.0 μB/f.u. The value obtained for the total energy is -9.29 eV/atom. As for the volume: 20.8 Å³ per atom. The symmetry is F-43m.